--- 1 ---
Computed, not measured: a PBEsol-optimized structure of YTc2Ag at the SCAN level of DFT.

Results
D(E_F) = 3.54 states/eV/f.u.
SG = Fm-3m, No. 225
density = 9545 kg/m³

Lattice parameters (Å, degrees): 4.5889 4.5889 4.5889 60.00 60.00 60.00
Site moments in Bohr magnetons follow the coordinates.
Atoms (fractional coordinates):
1 Tc 0.2500 0.2500 0.2500  1.51
2 Y 0.5000 0.5000 0.5000  0.14
3 Tc 0.7500 0.7500 0.7500  1.51
4 Ag 0.0000 0.0000 0.0000  0.08

---

--- 2 ---
Computed, not measured: a PBEsol-optimized structure of YTc2Ag at the SCAN level of DFT.

Results
D(E_F) = 3.33 states/eV/f.u.
SG = P4/mmm, No. 123
density = 9544 kg/m³

Lattice parameters (Å, degrees): 3.9034 3.9034 4.4853 90.00 90.00 90.00
Atoms (fractional coordinates):
1 Ag 0.0000 0.0000 0.5000
2 Tc 0.0000 0.5000 0.0000
3 Y 0.5000 0.5000 0.5000
4 Tc 0.5000 0.0000 0.0000

---

It comes down to 2, which is 389 meV/atom more stable than the next structure.